# 1
Compound: LiLuSn
Source: Alexandria
Functional: PBE
Structure: relaxed

Unit cell a=3.5216 b=3.5216 c=11.0741 alpha=90.00 beta=90.00 gamma=90.00
Space group I4mm (No. 107)
Inequivalent atoms, fractional coordinates:
1 Li 0.0000 0.0000 0.0000 x2
2 Lu 0.0000 0.0000 0.3083 x2
3 Sn 0.0000 0.0000 0.6242 x2

**Formation enthalpy at 0 K**: -0.2759 eV per atom
**Magnetic moment**: 0.000 μB/atom



# 2
Compound: SrLiLuSn
Source: Alexandria
Functional: PBE
Structure: relaxed

Unit cell a=7.6367 b=7.6367 c=7.6367 alpha=90.00 beta=90.00 gamma=90.00
Space group F-43m (No. 216)
Inequivalent atoms, fractional coordinates:
1 Sr 0.0000 0.0000 0.0000 x4
2 Li 0.2500 0.2500 0.7500 x4
3 Lu 0.0000 0.0000 0.5000 x4
4 Sn 0.2500 0.2500 0.2500 x4

**Formation enthalpy at 0 K**: -0.2989 eV per atom
**Magnetic moment**: 0.000 μB/atom



# 3
Compound: LiTbLuSn
Source: Alexandria
Functional: PBE
Structure: relaxed

Unit cell a=7.3192 b=7.3192 c=7.3192 alpha=90.00 beta=90.00 gamma=90.00
Space group F-43m (No. 216)
Inequivalent atoms, fractional coordinates:
1 Li 0.0000 0.0000 0.0000 x4
2 Tb 0.2500 0.2500 0.2500 x4
3 Lu 0.2500 0.2500 0.7500 x4
4 Sn 0.0000 0.0000 0.5000 x4

**Formation enthalpy at 0 K**: -0.3774 eV per atom
**Magnetic moment**: 0.000 μB/atom



# 4
Compound: LiLuTcSn
Source: Alexandria
Functional: PBE
Structure: relaxed

Unit cell a=6.6624 b=6.6624 c=6.6624 alpha=90.00 beta=90.00 gamma=90.00
Space group F-43m (No. 216)
Inequivalent atoms, fractional coordinates:
1 Li 0.0000 0.0000 0.0000 x4
2 Lu 0.2500 0.2500 0.7500 x4
3 Tc 0.0000 0.0000 0.5000 x4
4 Sn 0.2500 0.2500 0.2500 x4

**Formation enthalpy at 0 K**: -0.2013 eV per atom
**Magnetic moment**: 0.000 μB/atom



# 5
Compound: LiYLuSn
Source: Alexandria
Functional: PBE
Structure: relaxed

Unit cell a=7.3097 b=7.3097 c=7.3097 alpha=90.00 beta=90.00 gamma=90.00
Space group F-43m (No. 216)
Inequivalent atoms, fractional coordinates:
1 Li 0.0000 0.0000 0.0000 x4
2 Y 0.2500 0.2500 0.2500 x4
3 Lu 0.2500 0.2500 0.7500 x4
4 Sn 0.0000 0.0000 0.5000 x4

**Formation enthalpy at 0 K**: -0.3898 eV per atom
**Magnetic moment**: 0.000 μB/atom



# 6
Compound: LiLuZnSn
Source: Alexandria
Functional: PBE
Structure: relaxed

Unit cell a=6.9667 b=6.9667 c=6.9667 alpha=90.00 beta=90.00 gamma=90.00
Space group F-43m (No. 216)
Inequivalent atoms, fractional coordinates:
1 Li 0.0000 0.0000 0.0000 x4
2 Lu 0.0000 0.0000 0.5000 x4
3 Zn 0.2500 0.2500 0.7500 x4
4 Sn 0.2500 0.2500 0.2500 x4

**Formation enthalpy at 0 K**: -0.3979 eV per atom
**Magnetic moment**: 0.000 μB/atom



# 7
Compound: Sr2LiLu
Source: Alexandria
Functional: PBE
Structure: relaxed

Unit cell a=4.2401 b=4.2401 c=8.5054 alpha=90.00 beta=90.00 gamma=90.00
Space group P4/mmm (No. 123)
Inequivalent atoms, fractional coordinates:
1 Sr 0.0000 0.0000 0.2417 x2
2 Li 0.5000 0.5000 0.0000 x1
3 Lu 0.5000 0.5000 0.5000 x1

**Formation enthalpy at 0 K**: 0.1824 eV per atom
**Magnetic moment**: 0.001 μB/atom



# 8
Compound: LiLuTaTc
Source: Alexandria
Functional: PBE
Structure: relaxed

Unit cell a=6.5511 b=6.5511 c=6.5511 alpha=90.00 beta=90.00 gamma=90.00
Space group F-43m (No. 216)
Inequivalent atoms, fractional coordinates:
1 Li 0.0000 0.0000 0.0000 x4
2 Lu 0.2500 0.2500 0.2500 x4
3 Ta 0.2500 0.2500 0.7500 x4
4 Tc 0.0000 0.0000 0.5000 x4

**Formation enthalpy at 0 K**: -0.0086 eV per atom
**Magnetic moment**: 0.000 μB/atom



# 9
Compound: LiTb2Lu
Source: Alexandria
Functional: PBE
Structure: relaxed

Unit cell a=3.4377 b=3.4377 c=36.2211 alpha=90.00 beta=90.00 gamma=120.00
Space group R-3m (No. 166, hexagonal axes)
Inequivalent atoms, fractional coordinates:
1 Li 0.0000 0.0000 0.0000 x3
2 Tb 0.0000 0.0000 0.0895 x6
3 Lu 0.0000 0.0000 0.5000 x3

**Formation enthalpy at 0 K**: 0.1671 eV per atom
**Polymorph energy (0 for the lowest one)**: 0.0938 eV per atom
**Magnetic moment**: 0.000 μB/atom



# 10
Compound: Li4TbLu
Source: Alexandria
Functional: PBE
Structure: relaxed

Unit cell a=8.2100 b=8.2100 c=8.2100 alpha=90.00 beta=90.00 gamma=90.00
Space group F-43m (No. 216)
Inequivalent atoms, fractional coordinates:
1 Li 0.1253 0.1253 0.1253 x16
2 Tb 0.2500 0.2500 0.7500 x4
3 Lu 0.0000 0.0000 0.5000 x4

**Formation enthalpy at 0 K**: 0.1214 eV per atom
**Magnetic moment**: 0.000 μB/atom



# 11
Compound: LiTbLu
Source: Alexandria
Functional: PBE
Structure: relaxed

Unit cell a=3.4352 b=3.4352 c=8.2494 alpha=90.00 beta=90.00 gamma=120.00
Space group P3m1 (No. 156)
Inequivalent atoms, fractional coordinates:
1 Li 0.0000 0.0000 0.0000 x1
2 Tb 0.3333 0.6667 0.6636 x1
3 Lu 0.6667 0.3333 0.3260 x1

**Formation enthalpy at 0 K**: 0.1190 eV per atom
**Polymorph energy (0 for the lowest one)**: 0.0228 eV per atom
**Magnetic moment**: 0.000 μB/atom



# 12
Compound: LiTbLu
Source: Alexandria
Functional: PBE
Structure: relaxed

Unit cell a=3.5988 b=3.5988 c=12.4377 alpha=90.00 beta=90.00 gamma=90.00
Space group I4mm (No. 107)
Inequivalent atoms, fractional coordinates:
1 Li 0.0000 0.0000 0.0000 x2
2 Tb 0.0000 0.0000 0.6592 x2
3 Lu 0.0000 0.0000 0.3497 x2

**Formation enthalpy at 0 K**: 0.0963 eV per atom
**Polymorph energy (0 for the lowest one)**: 0.0000 eV per atom
**Magnetic moment**: 0.000 μB/atom



# 13
Compound: LiTb2Lu
Source: Alexandria
Functional: PBE
Structure: relaxed

Unit cell a=3.5852 b=3.5852 c=8.7973 alpha=90.00 beta=90.00 gamma=90.00
Space group P4/mmm (No. 123)
Inequivalent atoms, fractional coordinates:
1 Li 0.0000 0.0000 0.0000 x1
2 Tb 0.5000 0.5000 0.2290 x2
3 Lu 0.0000 0.0000 0.5000 x1

**Formation enthalpy at 0 K**: 0.0734 eV per atom
**Polymorph energy (0 for the lowest one)**: 0.0000 eV per atom
**Magnetic moment**: 0.000 μB/atom



# 14
Compound: LiTb2Lu
Source: Alexandria
Functional: PBE
Structure: relaxed

Unit cell a=7.6892 b=7.6892 c=7.6892 alpha=90.00 beta=90.00 gamma=90.00
Space group Fm-3m (No. 225)
Inequivalent atoms, fractional coordinates:
1 Li 0.0000 0.0000 0.0000 x4
2 Tb 0.2500 0.2500 0.2500 x8
3 Lu 0.0000 0.0000 0.5000 x4

**Formation enthalpy at 0 K**: 0.1576 eV per atom
**Polymorph energy (0 for the lowest one)**: 0.0842 eV per atom
**Magnetic moment**: 0.000 μB/atom



# 15
Compound: LiTbLuZn
Source: Alexandria
Functional: PBE
Structure: relaxed

Unit cell a=7.1586 b=7.1586 c=7.1586 alpha=90.00 beta=90.00 gamma=90.00
Space group F-43m (No. 216)
Inequivalent atoms, fractional coordinates:
1 Li 0.0000 0.0000 0.0000 x4
2 Tb 0.2500 0.2500 0.2500 x4
3 Lu 0.2500 0.2500 0.7500 x4
4 Zn 0.0000 0.0000 0.5000 x4

**Formation enthalpy at 0 K**: -0.1144 eV per atom
**Magnetic moment**: 0.012 μB/atom



# 16
Compound: LiTmLuTc
Source: Alexandria
Functional: PBE
Structure: relaxed

Unit cell a=6.8646 b=6.8646 c=6.8646 alpha=90.00 beta=90.00 gamma=90.00
Space group F-43m (No. 216)
Inequivalent atoms, fractional coordinates:
1 Li 0.0000 0.0000 0.0000 x4
2 Tm 0.2500 0.2500 0.7500 x4
3 Lu 0.2500 0.2500 0.2500 x4
4 Tc 0.0000 0.0000 0.5000 x4

**Formation enthalpy at 0 K**: -0.0825 eV per atom
**Magnetic moment**: 0.000 μB/atom



# 17
Compound: LiLuZrTc
Source: Alexandria
Functional: PBE
Structure: relaxed

Unit cell a=6.7135 b=6.7135 c=6.7135 alpha=90.00 beta=90.00 gamma=90.00
Space group F-43m (No. 216)
Inequivalent atoms, fractional coordinates:
1 Li 0.0000 0.0000 0.0000 x4
2 Lu 0.2500 0.2500 0.7500 x4
3 Zr 0.2500 0.2500 0.2500 x4
4 Tc 0.0000 0.0000 0.5000 x4

**Formation enthalpy at 0 K**: -0.1445 eV per atom
**Magnetic moment**: 0.000 μB/atom



# 18
Compound: LiLu2Te
Source: Alexandria
Functional: PBE
Structure: relaxed

Unit cell a=3.7333 b=3.7333 c=31.9363 alpha=90.00 beta=90.00 gamma=120.00
Space group R-3m (No. 166, hexagonal axes)
Inequivalent atoms, fractional coordinates:
1 Li 0.0000 0.0000 0.0000 x3
2 Lu 0.0000 0.0000 0.1009 x6
3 Te 0.0000 0.0000 0.5000 x3

**Formation energy from raw total energies**: -151 meV per atom
**Magnetic moment**: 0.000 μB/atom



# 19
Compound: LiLuTh
Source: Alexandria
Functional: PBE
Structure: relaxed

Unit cell a=3.5990 b=3.5990 c=12.5530 alpha=90.00 beta=90.00 gamma=90.00
Space group I4mm (No. 107)
Inequivalent atoms, fractional coordinates:
1 Li 0.0000 0.0000 0.0000 x2
2 Lu 0.0000 0.0000 0.6496 x2
3 Th 0.0000 0.0000 0.3334 x2

**Formation enthalpy at 0 K**: 0.1212 eV per atom
**Polymorph energy (0 for the lowest one)**: 0.0000 eV per atom
**Magnetic moment**: 0.000 μB/atom



# 20
Compound: Li4LuTh
Source: Alexandria
Functional: PBE
Structure: relaxed

Unit cell a=8.1727 b=8.1727 c=8.1727 alpha=90.00 beta=90.00 gamma=90.00
Space group F-43m (No. 216)
Inequivalent atoms, fractional coordinates:
1 Li 0.1245 0.1245 0.1245 x16
2 Lu 0.2500 0.2500 0.7500 x4
3 Th 0.0000 0.0000 0.5000 x4

**Formation enthalpy at 0 K**: 0.1916 eV per atom
**Magnetic moment**: 0.000 μB/atom



# 21
Compound: LiLuTh
Source: Alexandria
Functional: PBE
Structure: relaxed

Unit cell a=3.4424 b=3.4424 c=8.4233 alpha=90.00 beta=90.00 gamma=120.00
Space group P3m1 (No. 156)
Inequivalent atoms, fractional coordinates:
1 Li 0.0000 0.0000 0.0000 x1
2 Lu 0.6667 0.3333 0.3243 x1
3 Th 0.3333 0.6667 0.6580 x1

**Formation enthalpy at 0 K**: 0.1433 eV per atom
**Polymorph energy (0 for the lowest one)**: 0.0221 eV per atom
**Magnetic moment**: 0.000 μB/atom



# 22
Compound: Li2LuTh
Source: Alexandria
Functional: PBE
Structure: relaxed

Unit cell a=3.6383 b=3.6383 c=7.3359 alpha=90.00 beta=90.00 gamma=90.00
Space group P4/mmm (No. 123)
Inequivalent atoms, fractional coordinates:
1 Li 0.0000 0.0000 0.2402 x2
2 Lu 0.5000 0.5000 0.0000 x1
3 Th 0.5000 0.5000 0.5000 x1

**Formation enthalpy at 0 K**: 0.2241 eV per atom
**Polymorph energy (0 for the lowest one)**: 0.0000 eV per atom
**Magnetic moment**: 0.000 μB/atom



# 23
Compound: LiLuThV
Source: Alexandria
Functional: PBE
Structure: relaxed

Unit cell a=7.1937 b=7.1937 c=7.1937 alpha=90.00 beta=90.00 gamma=90.00
Space group F-43m (No. 216)
Inequivalent atoms, fractional coordinates:
1 Li 0.0000 0.0000 0.0000 x4
2 Lu 0.2500 0.2500 0.2500 x4
3 Th 0.2500 0.2500 0.7500 x4
4 V 0.0000 0.0000 0.5000 x4

**Formation enthalpy at 0 K**: 0.2211 eV per atom
**Magnetic moment**: 0.637 μB/atom



# 24
Compound: LiLuThZn
Source: Alexandria
Functional: PBE
Structure: relaxed

Unit cell a=7.2325 b=7.2325 c=7.2325 alpha=90.00 beta=90.00 gamma=90.00
Space group F-43m (No. 216)
Inequivalent atoms, fractional coordinates:
1 Li 0.0000 0.0000 0.0000 x4
2 Lu 0.2500 0.2500 0.2500 x4
3 Th 0.2500 0.2500 0.7500 x4
4 Zn 0.0000 0.0000 0.5000 x4

**Formation enthalpy at 0 K**: -0.0174 eV per atom
**Magnetic moment**: 0.002 μB/atom



# 25
Compound: LiLu2Tl
Source: Alexandria
Functional: PBE
Structure: relaxed

Unit cell a=4.9208 b=4.9208 c=4.0708 alpha=90.00 beta=90.00 gamma=90.00
Space group P4/mmm (No. 123)
Inequivalent atoms, fractional coordinates:
1 Li 0.0000 0.0000 0.0000 x1
2 Lu 0.0000 0.5000 0.5000 x2
3 Tl 0.5000 0.5000 0.0000 x1

**Formation enthalpy at 0 K**: -0.1581 eV per atom
**Magnetic moment**: 0.000 μB/atom



# 26
Compound: LiLuTl
Source: Alexandria
Functional: PBE
Structure: relaxed

Unit cell a=3.6574 b=3.6574 c=10.6372 alpha=90.00 beta=90.00 gamma=90.00
Space group I4mm (No. 107)
Inequivalent atoms, fractional coordinates:
1 Li 0.0000 0.0000 0.0000 x2
2 Lu 0.0000 0.0000 0.3110 x2
3 Tl 0.0000 0.0000 0.6252 x2

**Formation enthalpy at 0 K**: -0.1087 eV per atom
**Polymorph energy (0 for the lowest one)**: 0.1179 eV per atom
**Magnetic moment**: 0.000 μB/atom



# 27
Compound: LiLuTl
Source: Alexandria
Functional: PBE
Structure: relaxed

Unit cell a=4.8501 b=4.8501 c=3.3944 alpha=90.00 beta=90.00 gamma=120.00
Space group P-6m2 (No. 187)
Inequivalent atoms, fractional coordinates:
1 Li 0.0000 0.0000 0.0000 x1
2 Lu 0.6667 0.3333 0.5000 x1
3 Tl 0.3333 0.6667 0.0000 x1

**Formation enthalpy at 0 K**: -0.2265 eV per atom
**Polymorph energy (0 for the lowest one)**: 0.0000 eV per atom
**Magnetic moment**: 0.000 μB/atom



# 28
Compound: LiLu2Tl
Source: Alexandria
Functional: PBE
Structure: relaxed

Unit cell a=3.4031 b=3.4031 c=34.2384 alpha=90.00 beta=90.00 gamma=120.00
Space group R-3m (No. 166, hexagonal axes)
Inequivalent atoms, fractional coordinates:
1 Li 0.0000 0.0000 0.0000 x3
2 Lu 0.0000 0.0000 0.0912 x6
3 Tl 0.0000 0.0000 0.5000 x3

**Formation enthalpy at 0 K**: 0.1319 eV per atom
**Magnetic moment**: 0.000 μB/atom



# 29
Compound: Li2LuTl
Source: Alexandria
Functional: PBE
Structure: relaxed

Unit cell a=3.6825 b=3.6825 c=6.5349 alpha=90.00 beta=90.00 gamma=90.00
Space group P4/mmm (No. 123)
Inequivalent atoms, fractional coordinates:
1 Li 0.0000 0.0000 0.2182 x2
2 Lu 0.5000 0.5000 0.5000 x1
3 Tl 0.5000 0.5000 0.0000 x1

**Formation enthalpy at 0 K**: -0.0711 eV per atom
**Magnetic moment**: 0.000 μB/atom



# 30
Compound: Li2LuTl
Source: Alexandria
Functional: PBE
Structure: relaxed

Unit cell a=4.4750 b=4.4750 c=4.4946 alpha=90.00 beta=90.00 gamma=90.00
Space group P4/mmm (No. 123)
Inequivalent atoms, fractional coordinates:
1 Li 0.0000 0.5000 0.0000 x2
2 Lu 0.0000 0.0000 0.5000 x1
3 Tl 0.5000 0.5000 0.5000 x1

**Formation enthalpy at 0 K**: -0.0855 eV per atom
**Magnetic moment**: 0.000 μB/atom



# 31
Compound: LiLuZrTl
Source: Alexandria
Functional: PBE
Structure: relaxed

Unit cell a=7.1361 b=7.1361 c=7.1361 alpha=90.00 beta=90.00 gamma=90.00
Space group F-43m (No. 216)
Inequivalent atoms, fractional coordinates:
1 Li 0.0000 0.0000 0.0000 x4
2 Lu 0.2500 0.2500 0.2500 x4
3 Zr 0.2500 0.2500 0.7500 x4
4 Tl 0.0000 0.0000 0.5000 x4

**Formation enthalpy at 0 K**: -0.0041 eV per atom
**Magnetic moment**: 0.002 μB/atom